# La2Nd2AlGa4 (GGA-PBE, relaxed)
data_La2Nd2AlGa4
_chemical_formula_sum 'La2 Nd2 Al1 Ga4'
_symmetry_space_group_name_H-M 'P 1'
_symmetry_Int_Tables_number 1
_symmetry_space_group_name_Hall 'P 1'
_cell_length_a 6.828
_cell_length_b 6.828
_cell_length_c 6.828
_cell_angle_alpha 116.34
_cell_angle_beta 116.34
_cell_angle_gamma 96.46
loop_
_atom_site_label
_atom_site_type_symbol
_atom_site_fract_x
_atom_site_fract_y
_atom_site_fract_z
_atom_site_occupancy
La1 La 0.250 0.750 0.500 1
La2 La 0.750 0.250 0.500 1
Nd1 Nd 0.184 0.184 0.000 1
Nd2 Nd 0.816 0.816 0.000 1
Al1 Al 0.500 0.500 0.000 1
Ga1 Ga 0.256 0.256 0.512 1
Ga2 Ga 0.256 0.744 0.000 1
Ga3 Ga 0.744 0.256 0.000 1
Ga4 Ga 0.744 0.744 0.488 1
# ΔE_f	-0.327	eV/atom
# space-group type	No. 139
# uncorrected energy	-4.242	eV/atom